No. 1
# GGA-PBE Ac6Ge2PI3, optimized geometry
data_Ac6Ge2PI3
_chemical_formula_sum 'Ac12 Ge4 P2 I6'
_cell_length_a 7.901
_cell_length_b 13.681
_cell_length_c 8.563
_cell_angle_alpha 90.00
_cell_angle_beta 107.90
_cell_angle_gamma 90.00
_space_group_name_H-M_alt 'C 1 2/m 1'
_space_group_IT_number 12
loop_
_space_group_symop_operation_xyz
'x,y,z'
'-x,-y,-z'
'-x,y,-z'
'x,-y,z'
'x+1/2,y+1/2,z'
'-x+1/2,-y+1/2,-z'
'-x+1/2,y+1/2,-z'
'x+1/2,-y+1/2,z'
loop_
_atom_site_label
_atom_site_fract_x
_atom_site_fract_y
_atom_site_fract_z
Ac1 0.230 0.164 0.199
Ac2 0.239 0.500 0.199
Ge1 0.000 0.334 0.000
P1 0.000 0.000 0.000
I1 0.000 0.169 0.500
I2 0.000 0.500 0.500
# crystal system: monoclinic
# size of the total moment: 0.000 μB per cell
# formation energy (no corrections): -1.1185 eV per atom
# final energy: -114.7 eV for the cell shown


No. 2
# GGA-PBE Ac8GeP3I4, optimized geometry
data_Ac8GeP3I4
_chemical_formula_sum 'Ac24 Ge3 P9 I12'
_cell_length_a 8.9943
_cell_length_b 8.9943
_cell_length_c 24.3655
_cell_angle_alpha 90.00
_cell_angle_beta 90.00
_cell_angle_gamma 120.00
_space_group_name_H-M_alt 'R -3 m'
_space_group_IT_number 166
_space_group_name_Hall '-R 3 2"'
loop_
_atom_site_label
_atom_site_fract_x
_atom_site_fract_y
_atom_site_fract_z
Ac1 0.0000 0.0000 0.2310
Ac2 0.0071 0.5036 0.7680
Ge1 0.0000 0.0000 0.5000
P1 0.0000 0.5000 0.5000
I1 0.0000 0.0000 0.0000
I2 0.0000 0.5000 0.0000
# crystal system: trigonal
# size of the total moment: 0.000 μB per cell
# formation energy (no corrections): -1.2488 eV per atom
# final energy: -239.7 eV for the cell shown


Question: Number 1 is which compound?
Answer: Ac6Ge2PI3